No. 1
This record from Alexandria describes ReOs3 after structural relaxation. The functional is PBE. Values from VASP.

Cell and atoms, written as Quantum ESPRESSO input:
```
&SYSTEM
  ibrav = 0, nat = 4, ntyp = 2
/
ATOMIC_SPECIES
Re 186.21 Re.upf
Os 190.23 Os.upf
ATOMIC_POSITIONS crystal
Re 0.000 0.000 0.000
Os 0.000 0.000 0.500
Os 0.667 0.333 0.251
Os 0.667 0.333 0.749
CELL_PARAMETERS angstrom
2.763 0.000 0.000
-1.381 2.393 0.000
0.000 0.000 8.742
```

## Properties
Energy of formation from the pure elements, eV/atom: -0.0339
M_tot, μB per formula unit: 0.0
Symmetry: No. 187


No. 2
This record from Alexandria describes UCuAs3 after structural relaxation. The functional is PBE. Values from VASP.

Cell and atoms, written as Quantum ESPRESSO input:
```
&SYSTEM
  ibrav = 0, nat = 20, ntyp = 3
/
ATOMIC_SPECIES
U 238.03 U.upf
Cu 63.55 Cu.upf
As 74.92 As.upf
ATOMIC_POSITIONS crystal
U 0.192 0.006 0.250
U 0.192 0.494 0.750
U 0.808 0.506 0.250
U 0.808 0.994 0.750
Cu 0.408 0.750 0.000
Cu 0.408 0.750 0.500
Cu 0.592 0.250 0.000
Cu 0.592 0.250 0.500
As 0.000 0.250 0.000
As 0.000 0.250 0.500
As 0.000 0.750 0.000
As 0.000 0.750 0.500
As 0.246 0.510 0.250
As 0.246 0.990 0.750
As 0.426 0.109 0.250
As 0.426 0.391 0.750
As 0.574 0.609 0.250
As 0.574 0.891 0.750
As 0.754 0.010 0.250
As 0.754 0.490 0.750
CELL_PARAMETERS angstrom
11.904 0.000 0.000
0.000 5.693 0.000
0.000 0.000 5.574
```

## Properties
Energy of formation from the pure elements, eV/atom: -0.3098
M_tot, μB per formula unit: 1.6
Symmetry: No. 57


No. 3
This record from Alexandria describes Pm2AgH after structural relaxation. The functional is PBE. Values from VASP.

Cell and atoms, written as Quantum ESPRESSO input:
```
&SYSTEM
  ibrav = 0, nat = 4, ntyp = 3
/
ATOMIC_SPECIES
Pm 145.00 Pm.upf
Ag 107.87 Ag.upf
H 1.01 H.upf
ATOMIC_POSITIONS crystal
Pm 0.230 0.230 0.230
Pm 0.770 0.770 0.770
Ag 0.000 0.000 0.000
H 0.500 0.500 0.500
CELL_PARAMETERS angstrom
1.879 1.085 7.418
-1.879 1.085 7.418
0.000 -2.170 7.418
```

## Properties
M_tot, μB per formula unit: 0.0
Uncorrected energy, eV for the cell shown: -16.4
Symmetry: No. 166


No. 4
This record from Alexandria describes MnCr3W after structural relaxation. The functional is PBE. Values from VASP.

Cell and atoms, written as Quantum ESPRESSO input:
```
&SYSTEM
  ibrav = 0, nat = 5, ntyp = 3
/
ATOMIC_SPECIES
Mn 54.94 Mn.upf
Cr 52.00 Cr.upf
W 183.84 W.upf
ATOMIC_POSITIONS crystal
Mn 0.000 0.000 0.000
Cr 0.000 0.000 0.500
Cr 0.000 0.500 0.000
Cr 0.500 0.000 0.000
W 0.500 0.500 0.500
CELL_PARAMETERS angstrom
4.138 0.000 0.000
0.000 4.138 0.000
0.000 0.000 4.138
```

## Properties
Energy of formation from the pure elements, eV/atom: 1.1694
M_tot, μB per formula unit: 0.0
Symmetry: No. 221


No. 5
This record from Alexandria describes PmSm2Dy6Tm3 after structural relaxation. The functional is PBE. Values from VASP.

Cell and atoms, written as Quantum ESPRESSO input:
```
&SYSTEM
  ibrav = 0, nat = 12, ntyp = 4
/
ATOMIC_SPECIES
Pm 145.00 Pm.upf
Sm 150.36 Sm.upf
Dy 162.50 Dy.upf
Tm 168.93 Tm.upf
ATOMIC_POSITIONS crystal
Pm 0.000 0.000 0.000
Sm 0.333 0.667 0.000
Sm 0.667 0.333 0.000
Dy 0.086 0.419 0.254
Dy 0.248 0.248 0.746
Dy 0.419 0.086 0.254
Dy 0.581 0.914 0.746
Dy 0.752 0.752 0.254
Dy 0.914 0.581 0.746
Tm 0.167 0.833 0.500
Tm 0.500 0.500 0.500
Tm 0.833 0.167 0.500
CELL_PARAMETERS angstrom
3.078 -5.326 0.000
3.078 5.326 0.000
-2.044 0.000 11.578
```

## Properties
Energy of formation from the pure elements, eV/atom: 0.0196
M_tot, μB per formula unit: 0.0
Symmetry: No. 12


No. 6
This record from Alexandria describes Mg3Ga5Sn12 after structural relaxation. The functional is PBE. Values from VASP.

Cell and atoms, written as Quantum ESPRESSO input:
```
&SYSTEM
  ibrav = 0, nat = 80, ntyp = 3
/
ATOMIC_SPECIES
Mg 24.30 Mg.upf
Ga 69.72 Ga.upf
Sn 118.71 Sn.upf
ATOMIC_POSITIONS crystal
Mg 0.125 0.250 0.375
Mg 0.125 0.375 0.750
Mg 0.250 0.375 0.125
Mg 0.250 0.875 0.625
Mg 0.375 0.125 0.250
Mg 0.375 0.750 0.125
Mg 0.625 0.250 0.875
Mg 0.625 0.875 0.750
Mg 0.750 0.125 0.375
Mg 0.750 0.625 0.875
Mg 0.875 0.625 0.250
Mg 0.875 0.750 0.625
Ga 0.000 0.000 0.000
Ga 0.000 0.000 0.500
Ga 0.000 0.500 0.000
Ga 0.000 0.500 0.500
Ga 0.125 0.750 0.875
Ga 0.125 0.875 0.250
Ga 0.250 0.125 0.875
Ga 0.250 0.625 0.375
Ga 0.375 0.250 0.625
Ga 0.375 0.625 0.750
Ga 0.500 0.000 0.000
Ga 0.500 0.000 0.500
Ga 0.500 0.500 0.000
Ga 0.500 0.500 0.500
Ga 0.625 0.375 0.250
Ga 0.625 0.750 0.375
Ga 0.750 0.375 0.625
Ga 0.750 0.875 0.125
Ga 0.875 0.125 0.750
Ga 0.875 0.250 0.125
Sn 0.057 0.229 0.126
Sn 0.057 0.327 0.931
Sn 0.069 0.626 0.396
Sn 0.069 0.943 0.673
Sn 0.104 0.729 0.673
Sn 0.104 0.874 0.431
Sn 0.126 0.057 0.229
Sn 0.126 0.569 0.896
Sn 0.173 0.229 0.604
Sn 0.173 0.443 0.569
Sn 0.229 0.126 0.057
Sn 0.229 0.604 0.173
Sn 0.271 0.327 0.896
Sn 0.271 0.443 0.374
Sn 0.327 0.896 0.271
Sn 0.327 0.931 0.057
Sn 0.374 0.271 0.443
Sn 0.374 0.604 0.931
Sn 0.396 0.069 0.626
Sn 0.396 0.827 0.771
Sn 0.431 0.104 0.874
Sn 0.431 0.827 0.557
Sn 0.443 0.374 0.271
Sn 0.443 0.569 0.173
Sn 0.557 0.431 0.827
Sn 0.557 0.626 0.729
Sn 0.569 0.173 0.443
Sn 0.569 0.896 0.126
Sn 0.604 0.173 0.229
Sn 0.604 0.931 0.374
Sn 0.626 0.396 0.069
Sn 0.626 0.729 0.557
Sn 0.673 0.069 0.943
Sn 0.673 0.104 0.729
Sn 0.729 0.557 0.626
Sn 0.729 0.673 0.104
Sn 0.771 0.396 0.827
Sn 0.771 0.874 0.943
Sn 0.827 0.557 0.431
Sn 0.827 0.771 0.396
Sn 0.874 0.431 0.104
Sn 0.874 0.943 0.771
Sn 0.896 0.126 0.569
Sn 0.896 0.271 0.327
Sn 0.931 0.057 0.327
Sn 0.931 0.374 0.604
Sn 0.943 0.673 0.069
Sn 0.943 0.771 0.874
CELL_PARAMETERS angstrom
-8.315 8.315 8.315
8.315 -8.315 8.315
8.315 8.315 -8.315
```

## Properties
Energy of formation from the pure elements, eV/atom: 0.1059
M_tot, μB per formula unit: 0.0
Symmetry: No. 230


M_tot of number 6 (Mg3Ga5Sn12)? 0.0 μB per formula unit


Which formula does entry 5 have? PmSm2Dy6Tm3


Which of these has the highest M_tot? UCuAs3